{
  "formula": "La6PmHo5",
  "functional": "PBE-GGA",
  "state": "relaxed",
  "m_tot_mub_per_cell": 0.00,
  "e_form_ev_per_atom": 0.02,
  "cell": [[6.210, 0.000, 0.000], [-0.008, 7.412, 0.000], [-0.406, -3.687, 8.920]],
  "species": ["La", "La", "La", "La", "La", "La", "Pm", "Ho", "Ho", "Ho", "Ho", "Ho"],
  "fractional_positions": [[0.000, 0.249, 0.000], [0.000, 0.751, 0.000], [0.331, 0.083, 0.665], [0.332, 0.584, 0.665], [0.668, 0.416, 0.335], [0.669, 0.917, 0.335], [0.500, 0.500, 0.000], [0.167, 0.667, 0.334], [0.168, 0.166, 0.333], [0.500, 0.000, 0.000], [0.832, 0.834, 0.667], [0.833, 0.333, 0.666]]
}